Here is a PBEsol-optimized structure of BeReTc2 from Alexandria. Energies are from SCAN.

## Properties
Theoretical density: 12.46 g/cm3
Formation energy from the elements: 47.8 meV/atom

Cell: 4.1937 4.1937 4.1937 Å, 60.00 60.00 60.00°
Element x y z (fractional)
1 Re 0.2500 0.2500 0.2500
2 Tc 0.0000 0.0000 0.0000
3 Tc 0.7500 0.7500 0.7500
4 Be 0.5000 0.5000 0.5000



Here is a PBEsol-optimized structure of AlAsRh from Alexandria. Energies are from SCAN.

## Properties
Theoretical density: 7.36 g/cm3
Formation energy from the elements: -473.7 meV/atom

Cell: 3.0502 3.0502 5.7360 Å, 90.00 90.00 120.00°
Element x y z (fractional)
1 As 0.3333 0.6667 0.6460
2 Rh 0.6667 0.3333 0.3357
3 Al 0.0000 0.0000 0.0183



Here is a PBEsol-optimized structure of Fe2CuTe from Alexandria. Energies are from SCAN.

## Properties
Theoretical density: 9.16 g/cm3
Formation energy (no corrections): 244 meV/atom

Cell: 3.7635 3.7635 4.7024 Å, 113.59 113.59 90.00°
Element x y z (fractional)
1 Cu 0.5000 0.5000 0.0000
2 Fe 0.7500 0.2500 0.5000
3 Fe 0.2500 0.7500 0.5000
4 Te 0.0000 0.0000 0.0000



Here is a PBEsol-optimized structure of BaCd2IrAu from Alexandria. Energies are from SCAN.

## Properties
Theoretical density: 9.23 g/cm3
Formation energy from the elements: 200.2 meV/atom

Cell: 5.0749 5.0749 5.2483 Å, 90.00 90.00 90.00°
Element x y z (fractional)
1 Ir 0.0000 0.0000 0.5000
2 Au 0.0000 0.0000 0.0000
3 Ba 0.5000 0.5000 0.5000
4 Cd 0.0000 0.5000 0.0000
5 Cd 0.5000 0.0000 0.0000



Here is a PBEsol-optimized structure of MgCo2Bi from Alexandria. Energies are from SCAN.

## Properties
Theoretical density: 9.82 g/cm3
Formation energy from the elements: 289.4 meV/atom

Cell: 4.3795 4.3795 4.3795 Å, 60.00 60.00 60.00°
Element x y z (fractional)
1 Mg 0.0000 0.0000 0.0000
2 Co 0.2500 0.2500 0.2500
3 Co 0.7500 0.7500 0.7500
4 Bi 0.5000 0.5000 0.5000



Here is a PBEsol-optimized structure of ScCd2Cu from Alexandria. Energies are from SCAN.

## Properties
Theoretical density: 7.52 g/cm3
Formation energy from the elements: -138.6 meV/atom

Cell: 3.3772 4.7382 5.4432 Å, 115.80 108.07 90.00°
Element x y z (fractional)
1 Cd 0.7753 0.7753 0.5506
2 Cd 0.2247 0.2247 0.4494
3 Cu 0.5000 0.0000 0.0000
4 Sc 0.0000 0.5000 0.0000



Here is a PBEsol-optimized structure of MgTi2NbCo from Alexandria. Energies are from SCAN.

## Properties
Theoretical density: 4.25 g/cm3
Formation energy from the elements: 1249.1 meV/atom

Cell: 4.5668 4.5668 5.0980 Å, 90.00 90.00 90.00°
Element x y z (fractional)
1 Nb 0.0000 0.0000 0.0000
2 Co 0.5000 0.5000 0.5000
3 Mg 0.0000 0.0000 0.5000
4 Ti 0.0000 0.5000 0.0000
5 Ti 0.5000 0.0000 0.0000



Here is a PBEsol-optimized structure of EuZn2 from Alexandria. Energies are from SCAN.

## Properties
Theoretical density: 7.60 g/cm3
Formation energy from the elements: -351.1 meV/atom

Cell: 4.5590 5.6841 5.6841 Å, 80.27 66.36 66.36°
Element x y z (fractional)
1 Eu 0.9468 0.3032 0.8032
2 Eu 0.0532 0.6968 0.1968
3 Zn 0.6635 0.9016 0.7715
4 Zn 0.3365 0.7285 0.5984
5 Zn 0.3365 0.0984 0.2285
6 Zn 0.6635 0.2715 0.4016



Here is a PBEsol-optimized structure of Ti3Sn from Alexandria. Energies are from SCAN.

## Properties
Theoretical density: 6.33 g/cm3
Formation energy from the elements: -296.2 meV/atom

Cell: 4.5998 4.5998 4.5998 Å, 60.00 60.00 60.00°
Element x y z (fractional)
1 Ti 0.7500 0.7500 0.7500
2 Ti 0.2500 0.2500 0.2500
3 Ti 0.0000 0.0000 0.0000
4 Sn 0.5000 0.5000 0.5000



Here is a PBEsol-optimized structure of TiBe2Ni from Alexandria. Energies are from SCAN.

## Properties
Theoretical density: 4.37 g/cm3
Formation energy from the elements: 270.8 meV/atom

Cell: 3.3926 3.3926 8.5617 Å, 101.43 101.43 90.00°
Element x y z (fractional)
1 Ni 0.2500 0.7500 0.5000
2 Ni 0.0000 0.0000 0.0000
3 Be 0.3258 0.8750 0.2500
4 Be 0.9242 0.3750 0.2500
5 Be 0.1250 0.0758 0.7500
6 Be 0.6250 0.6742 0.7500
7 Ti 0.7500 0.2500 0.5000
8 Ti 0.5000 0.5000 0.0000



Here is a PBEsol-optimized structure of NdTlMo2O8 from Alexandria. Energies are from SCAN.

## Properties
Theoretical density: 6.02 g/cm3
Formation energy (no corrections): -2445 meV/atom

Cell: 6.2141 6.2141 9.5582 Å, 90.00 90.00 90.00°
Element x y z (fractional)
1 Nd 0.0000 0.0000 0.0000
2 Nd 0.5000 0.5000 0.5000
3 Tl 0.0000 0.0000 0.5000
4 Tl 0.5000 0.5000 0.0000
5 Mo 0.0000 0.5000 0.7500
6 Mo 0.0000 0.5000 0.2500
7 Mo 0.5000 0.0000 0.7500
8 Mo 0.5000 0.0000 0.2500
9 O 0.3809 0.1937 0.3613
10 O 0.3809 0.8063 0.6387
11 O 0.1191 0.6937 0.8613
12 O 0.6191 0.1937 0.6387
13 O 0.1191 0.3063 0.1387
14 O 0.8063 0.3809 0.3613
15 O 0.3063 0.1191 0.8613
16 O 0.1937 0.6191 0.3613
17 O 0.8809 0.6937 0.1387
18 O 0.6937 0.8809 0.8613
19 O 0.6191 0.8063 0.3613
20 O 0.8063 0.6191 0.6387
21 O 0.1937 0.3809 0.6387
22 O 0.8809 0.3063 0.8613
23 O 0.3063 0.8809 0.1387
24 O 0.6937 0.1191 0.1387



Here is a PBEsol-optimized structure of LiTl3F from Alexandria. Energies are from SCAN.

## Properties
Theoretical density: 7.94 g/cm3
Formation energy (no corrections): -589 meV/atom

Cell: 5.1121 5.1121 5.1121 Å, 90.00 90.00 90.00°
Element x y z (fractional)
1 Tl 0.0000 0.5000 0.0000
2 Tl 0.0000 0.0000 0.5000
3 Tl 0.5000 0.0000 0.0000
4 Li 0.5000 0.5000 0.5000
5 F 0.0000 0.0000 0.0000



Here is a PBEsol-optimized structure of ReTe4Mo2 from Alexandria. Energies are from SCAN.

## Properties
Theoretical density: 8.64 g/cm3
Formation energy (no corrections): -239 meV/atom

Cell: 6.9608 7.0185 7.0228 Å, 93.04 93.83 91.84°
Element x y z (fractional)
1 Re 0.4500 0.7527 0.5832
2 Re 0.7539 0.5813 0.4580
3 Te 0.2551 0.6258 0.8776
4 Te 0.6153 0.8799 0.2616
5 Te 0.8877 0.2568 0.6248
6 Te 0.7471 0.3741 0.1248
7 Te 0.3860 0.1166 0.7430
8 Te 0.1115 0.7474 0.3729
9 Te 0.7931 0.7910 0.7932
10 Te 0.2059 0.2121 0.1979
11 Mo 0.5873 0.4548 0.7602
12 Mo 0.5481 0.2440 0.4168
13 Mo 0.2460 0.4166 0.5429
14 Mo 0.4130 0.5470 0.2429



Here is a PBEsol-optimized structure of Al24Zn5 from Alexandria. Energies are from SCAN.

## Properties
Theoretical density: 3.36 g/cm3
Formation energy from the elements: 82.0 meV/atom

Cell: 8.5496 8.5496 8.5496 Å, 109.47 109.47 109.47°
Element x y z (fractional)
1 Al 0.6177 0.8095 0.6177
2 Al 0.8082 0.1905 0.8082
3 Al 0.1918 0.0000 0.3823
4 Al 0.3823 0.0000 0.1918
5 Al 0.8095 0.6177 0.6177
6 Al 0.1905 0.8082 0.8082
7 Al 0.0000 0.3823 0.1918
8 Al 0.0000 0.1918 0.3823
9 Al 0.6177 0.6177 0.8095
10 Al 0.8082 0.8082 0.1905
11 Al 0.3823 0.1918 0.0000
12 Al 0.1918 0.3823 0.0000
13 Al 0.5823 0.2751 0.5823
14 Al 0.3072 0.7249 0.3072
15 Al 0.6928 0.0000 0.4177
16 Al 0.4177 0.0000 0.6928
17 Al 0.2751 0.5823 0.5823
18 Al 0.7249 0.3072 0.3072
19 Al 0.0000 0.4177 0.6928
20 Al 0.0000 0.6928 0.4177
21 Al 0.5823 0.5823 0.2751
22 Al 0.3072 0.3072 0.7249
23 Al 0.4177 0.6928 0.0000
24 Al 0.6928 0.4177 0.0000
25 Zn 0.3197 0.3197 0.3197
26 Zn 0.0000 0.6803 0.0000
27 Zn 0.0000 0.0000 0.6803
28 Zn 0.6803 0.0000 0.0000
29 Zn 0.0000 0.0000 0.0000



Here is a PBEsol-optimized structure of TaIrAu from Alexandria. Energies are from SCAN.

## Properties
Theoretical density: 19.43 g/cm3
Formation energy from the elements: -424.5 meV/atom
E above lowest polymorph: 19 meV per atom

Cell: 3.3696 3.3696 4.9083 Å, 110.08 110.08 90.00°
Element x y z (fractional)
1 Ir 0.6782 0.6782 0.3564
2 Au 0.0000 0.0000 0.9999
3 Ta 0.3219 0.3219 0.6437



Here is a PBEsol-optimized structure of Sr5Ca3TiMn7O24 from Alexandria. Energies are from SCAN.

## Properties
Theoretical density: 5.31 g/cm3
Formation energy (no corrections): -2769 meV/atom

Cell: 7.5091 7.5698 7.5693 Å, 89.38 90.02 90.03°
Element x y z (fractional)
1 Sr 0.2477 0.7524 0.2509
2 Sr 0.2503 0.7494 0.7498
3 Sr 0.2497 0.2479 0.2483
4 Sr 0.2478 0.2506 0.7527
5 Sr 0.7514 0.2499 0.2496
6 Ca 0.7505 0.7513 0.2435
7 Ca 0.7524 0.7518 0.7511
8 Ca 0.7507 0.2444 0.7504
9 Ti 0.5031 0.5019 0.5017
10 Mn 0.9970 0.4996 0.9976
11 Mn 0.9972 0.5009 0.5007
12 Mn 0.5034 0.5004 0.9988
13 Mn 0.9960 0.9982 0.9979
14 Mn 0.9971 0.9978 0.4994
15 Mn 0.5033 0.9990 0.9988
16 Mn 0.5034 0.9989 0.5002
17 O 0.9610 0.7505 0.9988
18 O 0.0269 0.7515 0.5043
19 O 0.5400 0.7498 0.9977
20 O 0.4793 0.7548 0.5018
21 O 0.0231 0.2503 0.0018
22 O 0.9654 0.2502 0.5084
23 O 0.4759 0.2491 0.9997
24 O 0.5279 0.2451 0.5044
25 O 0.2496 0.5249 0.0241
26 O 0.2449 0.4790 0.4787
27 O 0.7507 0.4677 0.9634
28 O 0.7548 0.5282 0.5288
29 O 0.2495 0.9752 0.9752
30 O 0.2496 0.0238 0.5252
31 O 0.7499 0.0256 0.0266
32 O 0.7507 0.9633 0.4678
33 O 0.9652 0.5095 0.2503
34 O 0.0272 0.5028 0.7516
35 O 0.5282 0.5052 0.2451
36 O 0.4791 0.5009 0.7549
37 O 0.0232 0.0006 0.2505
38 O 0.9608 0.0002 0.7506
39 O 0.4758 0.9986 0.2492
40 O 0.5402 0.9988 0.7499



Here is a PBEsol-optimized structure of HgBi3Br from Alexandria. Energies are from SCAN.

## Properties
Theoretical density: 8.29 g/cm3
Formation energy (no corrections): 915 meV/atom

Cell: 5.6641 5.6641 5.6641 Å, 90.00 90.00 90.00°
Element x y z (fractional)
1 Bi 0.0000 0.5000 0.0000
2 Bi 0.0000 0.0000 0.5000
3 Bi 0.5000 0.0000 0.0000
4 Br 0.0000 0.0000 0.0000
5 Hg 0.5000 0.5000 0.5000



Here is a PBEsol-optimized structure of Si2H6O from Alexandria. Energies are from SCAN.

## Properties
Theoretical density: 1.26 g/cm3
Uncorrected energy: -204.73 eV for the cell shown

Cell: 4.5585 7.3879 12.2416 Å, 90.00 90.00 90.00°
Element x y z (fractional)
1 H 0.0310 0.3369 0.0080
2 H 0.4690 0.6631 0.5080
3 H 0.9690 0.8369 0.4920
4 H 0.5310 0.1631 0.9920
5 H 0.0506 0.6576 0.0590
6 H 0.4494 0.3424 0.5590
7 H 0.9494 0.1576 0.4410
8 H 0.5506 0.8424 0.9410
9 H 0.4622 0.5182 0.9607
10 H 0.0378 0.4818 0.4607
11 H 0.5378 0.0182 0.5393
12 H 0.9622 0.9818 0.0393
13 H 0.7928 0.2198 0.2096
14 H 0.7072 0.7802 0.7096
15 H 0.2072 0.7198 0.2904
16 H 0.2928 0.2802 0.7904
17 H 0.4137 0.2854 0.3480
18 H 0.0863 0.7146 0.8480
19 H 0.5863 0.7854 0.1520
20 H 0.9137 0.2146 0.6520
21 H 0.2882 0.0988 0.1858
22 H 0.2118 0.9012 0.6858
23 H 0.7118 0.5988 0.3142
24 H 0.7882 0.4012 0.8142
25 O 0.3750 0.4376 0.1636
26 O 0.1250 0.5624 0.6636
27 O 0.6250 0.9376 0.3364
28 O 0.8750 0.0624 0.8364
29 Si 0.2273 0.4889 0.0442
30 Si 0.2727 0.5111 0.5442
31 Si 0.7727 0.9889 0.4558
32 Si 0.7273 0.0111 0.9558
33 Si 0.4730 0.2494 0.2297
34 Si 0.0270 0.7506 0.7297
35 Si 0.5270 0.7494 0.2703
36 Si 0.9730 0.2506 0.7703



Here is a PBEsol-optimized structure of LiMg2Pb from Alexandria. Energies are from SCAN.

## Properties
Theoretical density: 4.99 g/cm3
Formation energy from the elements: -245.6 meV/atom

Cell: 4.4653 4.4653 5.4039 Å, 114.40 114.40 90.00°
Element x y z (fractional)
1 Pb 0.5000 0.5000 0.0000
2 Mg 0.2500 0.7500 0.5000
3 Mg 0.7500 0.2500 0.5000
4 Li 0.0000 0.0000 0.0000



Here is a PBEsol-optimized structure of Cu2TeSe from Alexandria. Energies are from SCAN.

## Properties
Theoretical density: 7.32 g/cm3
Formation energy (no corrections): 151 meV/atom
E above lowest polymorph: 248 meV per atom

Cell: 4.3039 4.6471 4.6471 Å, 103.31 109.89 109.89°
Element x y z (fractional)
1 Cu 0.0000 0.5000 0.0000
2 Cu 0.0000 0.0000 0.5000
3 Se 0.5000 0.5000 0.5000
4 Te 0.5000 0.0000 0.0000



Here is a PBEsol-optimized structure of Si2TeAu from Alexandria. Energies are from SCAN.

## Properties
Theoretical density: 6.89 g/cm3
Formation energy (no corrections): 309 meV/atom

Cell: 3.4426 4.8329 5.7851 Å, 92.31 107.31 90.00°
Element x y z (fractional)
1 Au 0.3174 0.0073 0.6349
2 Si 0.9868 0.9809 0.9737
3 Si 0.6570 0.0111 0.3141
4 Te 0.5387 0.5006 0.0774



Here is a PBEsol-optimized structure of Ag5Se from Alexandria. Energies are from SCAN.

## Properties
Theoretical density: 9.95 g/cm3
Formation energy (no corrections): 1 meV/atom

Cell: 4.0502 4.0896 6.5545 Å, 71.82 90.00 90.00°
Element x y z (fractional)
1 Se 0.0000 0.5000 0.0000
2 Ag 0.5000 0.3296 0.3408
3 Ag 0.0000 0.1683 0.6634
4 Ag 0.5000 0.0000 0.0000
5 Ag 0.0000 0.8317 0.3366
6 Ag 0.5000 0.6704 0.6592